No. 1
## Pr4Nd3Er5 (PBE)

Data for a geometry-optimized Pr4Nd3Er5 structure.

abc: 7.2271 9.5819 13.0797
angles: 137.36 56.14 139.11
Last column: nearest neighbours and their distance in Å.
Element x y z (fractional)
Er 0.3349 0.6703 0.8351  4 Er 3.58-3.62, 5 Pr 3.59-3.62, 3 Nd 3.62-3.64
Er 0.6651 0.3297 0.1649  4 Er 3.58-3.62, 5 Pr 3.59-3.62, 3 Nd 3.62-3.64
Er 0.5000 0.0000 0.5000  4 Pr 3.60-3.62, 6 Nd 3.61-3.64, 2 Er 3.64
Er 0.4157 0.8345 0.1662  6 Pr 3.58-3.64, 4 Er 3.59-3.64, 2 Nd 3.59-3.61
Er 0.5843 0.1655 0.8338  6 Pr 3.58-3.64, 4 Er 3.59-3.64, 2 Nd 3.59-3.61
Pr 0.8301 0.6630 0.8332  4 Pr 3.60-3.66, 6 Er 3.60-3.63, 2 Nd 3.62-3.64
Pr 0.0827 0.1685 0.8341  7 Er 3.58-3.64, 3 Pr 3.60-3.66, 2 Nd 3.62-3.65
Pr 0.1699 0.3370 0.1668  4 Pr 3.60-3.66, 6 Er 3.60-3.63, 2 Nd 3.62-3.64
Pr 0.9173 0.8315 0.1659  7 Er 3.58-3.64, 3 Pr 3.60-3.66, 2 Nd 3.62-3.65
Nd 0.7453 0.4958 0.4988  4 Nd 3.59-3.64, 5 Er 3.59-3.64, 3 Pr 3.62-3.65
Nd 0.2547 0.5042 0.5012  4 Nd 3.59-3.64, 5 Er 3.59-3.64, 3 Pr 3.62-3.65
Nd 0.0000 0.0000 0.5000  4 Nd 3.59-3.63, 6 Er 3.61-3.64, 2 Pr 3.62

Volume in Å³ per cell: 401.7
ΔE to the lowest computed polymorph in eV per atom: 0.000
SG: P-1 (2)
Crystal system: triclinic


No. 2
## BeSbN2O (PBE)

Data for a geometry-optimized BeSbN2O structure.

abc: 4.0093 4.0093 3.9048
angles: 90.00 90.00 90.00
Last column: nearest neighbours and their distance in Å.
Element x y z (fractional)
Be 0.5000 0.5000 0.5000  8 N 2.80, 4 O 2.83
Sb 0.0000 0.0000 0.0000  2 O 1.95, 4 N 2.00
O 0.0000 0.0000 0.5000  2 Sb 1.95
N 0.5000 0.0000 0.0000  2 Sb 2.00
N 0.0000 0.5000 0.0000  2 Sb 2.00

Volume in Å³ per cell: 62.8
ΔE_f (raw) in eV per formula unit: 5.3
SG: P4/mmm (123)
Crystal system: tetragonal


No. 3
## Ac2Pm3Pr7 (PBE)

Data for a geometry-optimized Ac2Pm3Pr7 structure.

abc: 3.7066 6.6437 18.2285
angles: 89.94 90.00 90.00
Last column: nearest neighbours and their distance in Å.
Element x y z (fractional)
Pm 0.0000 0.9990 0.3383  2 Pm 3.71, 4 Ac 3.76-3.86, 7 Pr 3.80-3.88
Pm 0.5000 0.5000 0.0000  10 Pr 3.67-3.80, 2 Pm 3.71
Pm 0.0000 0.0010 0.6617  2 Pm 3.71, 4 Ac 3.76-3.86, 7 Pr 3.80-3.88
Pr 0.0000 0.3229 0.1614  7 Pr 3.64-3.84, 3 Pm 3.67-3.88, 2 Ac 3.73
Pr 0.5000 0.2385 0.5013  2 Pr 3.17-3.48
Pr 0.0000 0.0000 0.0000  8 Pr 3.64-3.71, 4 Pm 3.80
Pr 0.5000 0.1706 0.8361  8 Pr 3.69-3.84, 3 Pm 3.71-3.85, 1 Ac 3.74
Pr 0.0000 0.6772 0.8386  7 Pr 3.64-3.84, 3 Pm 3.67-3.88, 2 Ac 3.73
Pr 0.5000 0.8294 0.1639  8 Pr 3.69-3.84, 3 Pm 3.71-3.85, 1 Ac 3.74
Pr 0.5000 0.7615 0.4987  2 Pr 3.17-3.48
Ac 0.5000 0.4910 0.3277  5 Pr 3.58-3.74, 2 Ac 3.71, 4 Pm 3.76-3.86
Ac 0.5000 0.5090 0.6723  5 Pr 3.58-3.74, 2 Ac 3.71, 4 Pm 3.76-3.86

Volume in Å³ per cell: 448.9
ΔE to the lowest computed polymorph in eV per atom: 0.000
SG: P2/m (10)
Crystal system: monoclinic


- volume of number 3 (Ac2Pm3Pr7)?
  448.9 Å³ per cell


- The highest volume belongs to which entry?
  Ac2Pm3Pr7